This record from Alexandria describes a relaxed Y2SbSO crystal. The functional is PBE.

Cell: 5.2747 5.2747 3.9887 Å, 90.00 90.00 90.00°
Fractional positions:
Y  0.0000  0.5000  0.0000
Y  0.5000  0.0000  0.0000
Sb  0.0000  0.0000  0.5000
S  0.5000  0.5000  0.0000
O  0.5000  0.5000  0.5000

Properties
Total DFT energy (no corrections) ... -6.258 eV/atom
DOS at the Fermi energy ... 1.8 states/eV/f.u.

This record from Alexandria describes a relaxed TbPu3Mn3 crystal. The functional is PBE.

Cell: 6.7596 6.7596 6.7596 Å, 90.00 90.00 90.00°
Fractional positions:
Tb  0.0000  0.0000  0.0000
Tb  0.5000  0.5000  0.5000
Pu  0.0000  0.2500  0.5000
Pu  0.0000  0.7500  0.5000
Pu  0.2500  0.5000  0.0000
Pu  0.5000  0.0000  0.2500
Pu  0.5000  0.0000  0.7500
Pu  0.7500  0.5000  0.0000
Mn  0.0000  0.5000  0.2500
Mn  0.0000  0.5000  0.7500
Mn  0.2500  0.0000  0.5000
Mn  0.5000  0.2500  0.0000
Mn  0.5000  0.7500  0.0000
Mn  0.7500  0.0000  0.5000

Properties
DOS at the Fermi energy ... 13.7 states/eV/f.u.
Energy relative to the elements ... 61.2 kJ/mol of atoms

This record from Alexandria describes a relaxed YTc2Rh crystal. The functional is PBE.

Cell: 5.1766 5.1766 2.8593 Å, 90.00 90.00 117.45°
Fractional positions:
Y  0.0000  0.0000  0.0000
Tc  0.0000  0.5000  0.5000
Tc  0.5000  0.0000  0.5000
Rh  0.5000  0.5000  0.0000

Properties
Excess energy over the best structure of this formula in the dataset ... 308.4 meV per atom
DOS at the Fermi energy ... 6.0 states/eV/f.u.
Energy relative to the elements ... 26.1 kJ/mol of atoms

This record from Alexandria describes a relaxed Be4ReMo crystal. The functional is PBE.

Cell: 4.4126 4.4126 4.4126 Å, 60.00 60.00 60.00°
Fractional positions:
Be  0.1250  0.1250  0.1250
Be  0.1250  0.1250  0.6251
Be  0.1250  0.6251  0.1250
Be  0.6251  0.1250  0.1250
Re  0.7500  0.7500  0.7500
Mo  0.5000  0.5000  0.5000

Properties
DOS at the Fermi energy ... 1.4 states/eV/f.u.
Energy relative to the elements ... -37.5 kJ/mol of atoms

This record from Alexandria describes a relaxed Y2MnRh crystal. The functional is PBE.

Cell: 8.5078 8.5078 8.5078 Å, 24.86 24.86 24.86°
Fractional positions:
Y  0.2393  0.2393  0.2393
Y  0.7607  0.7607  0.7607
Mn  0.0000  0.0000  0.0000
Rh  0.5000  0.5000  0.5000

Properties
DOS at the Fermi energy ... 3.1 states/eV/f.u.
Energy relative to the elements ... -1.7 kJ/mol of atoms

This record from Alexandria describes a relaxed Cs2CuO2 crystal. The functional is PBE.

Cell: 6.5099 5.9238 12.9335 Å, 90.00 90.00 90.00°
Fractional positions:
Cs  0.0731  0.2500  0.1658
Cs  0.1839  0.2500  0.5457
Cs  0.3161  0.7500  0.0457
Cs  0.4269  0.7500  0.6658
Cs  0.5731  0.2500  0.3342
Cs  0.6839  0.2500  0.9543
Cs  0.8161  0.7500  0.4543
Cs  0.9269  0.7500  0.8342
Cu  0.2214  0.2500  0.8251
Cu  0.2786  0.7500  0.3251
Cu  0.7214  0.2500  0.6749
Cu  0.7786  0.7500  0.1749
O  0.0319  0.7500  0.2477
O  0.2246  0.2500  0.9670
O  0.2754  0.7500  0.4670
O  0.4681  0.2500  0.7477
O  0.5319  0.7500  0.2523
O  0.7246  0.2500  0.5330
O  0.7754  0.7500  0.0330
O  0.9681  0.2500  0.7523

Properties
Total DFT energy (no corrections) ... -4.063 eV/atom
DOS at the Fermi energy ... 2.8 states/eV/f.u.

This record from Alexandria describes a relaxed Sm6Dy3ErSc2 crystal. The functional is PBE.

Cell: 6.1455 6.1455 11.5993 Å, 95.05 95.05 119.97°
Fractional positions:
Sm  0.0820  0.4181  0.7559
Sm  0.2458  0.2458  0.2442
Sm  0.4181  0.0820  0.7559
Sm  0.5819  0.9180  0.2441
Sm  0.7542  0.7542  0.7558
Sm  0.9180  0.5819  0.2441
Dy  0.0000  0.0000  0.5000
Dy  0.3332  0.6668  0.5000
Dy  0.6668  0.3332  0.5000
Er  0.5000  0.5000  0.0000
Sc  0.1666  0.8334  0.0000
Sc  0.8334  0.1666  0.0000

Properties
DOS at the Fermi energy ... 14.3 states/eV/f.u.
Energy relative to the elements ... 3.4 kJ/mol of atoms

This record from Alexandria describes a relaxed AcLaPm2Ho crystal. The functional is PBE.

Cell: 7.4176 7.4176 7.3541 Å, 90.00 90.00 109.69°
Fractional positions:
Ac  0.2422  0.7578  0.7500
Ac  0.7578  0.2422  0.2500
La  0.4887  0.5113  0.2500
La  0.5113  0.4887  0.7500
Pm  0.1866  0.1866  0.0000
Pm  0.1866  0.1866  0.5000
Pm  0.8134  0.8134  0.0000
Pm  0.8134  0.8134  0.5000
Ho  0.2113  0.7887  0.2500
Ho  0.7887  0.2113  0.7500

Properties
DOS at the Fermi energy ... 8.5 states/eV/f.u.
Energy relative to the elements ... 32.8 kJ/mol of atoms